[1]
First-principles (GGA-PBE) data for a relaxed structure of Cu2NiIr, as listed in Alexandria.

Computed properties:
* total magnetization: 0.05 Bohr magnetons per cell
* VASP energy: -22.48 eV/f.u.
* E_form: 0.4 eV/f.u.
* space group: Cm (8)
* energy above the most stable polymorph in this dataset: 36 meV per atom
* ρ: 12.56 g/cm3

```
Cu2NiIr
1.0
8.581 0.000 0.000
0.000 2.615 0.000
-0.812 0.000 4.454
Cu Ni Ir
4 2 2
Cartesian
0.000 0.000 0.000
1.499 0.000 3.461
4.291 1.307 0.000
5.790 1.307 3.461
1.924 1.307 1.230
6.214 0.000 1.230
3.853 0.000 2.200
8.144 1.307 2.200
```

[2]
First-principles (GGA-PBE) data for a relaxed structure of AcPm5Al6, as listed in Alexandria.

Computed properties:
* total magnetization: 0.00 Bohr magnetons per cell
* VASP energy: -54.29 eV/f.u.
* E_form: -4.0 eV/f.u.
* space group: C2/m (12)
* ρ: 5.88 g/cm3

```
AcPm5Al6
1.0
8.384 -3.720 0.000
8.384 3.720 0.000
-1.675 0.000 5.042
Ac Pm Al
1 5 6
Cartesian
0.000 0.000 0.000
1.562 0.000 3.322
4.959 0.000 1.656
8.384 0.000 0.000
10.133 0.000 3.386
13.530 0.000 1.720
4.119 1.769 4.177
7.546 1.673 2.521
10.973 1.769 0.865
4.119 -1.769 4.177
7.546 -1.673 2.521
10.973 -1.769 0.865
```

[3]
First-principles (GGA-PBE) data for a relaxed structure of Er2PI2, as listed in Alexandria.

Computed properties:
* total magnetization: 0.00 Bohr magnetons per cell
* VASP energy: -25.15 eV/f.u.
* space group: R-3m (166)
* ρ: 6.28 g/cm3

```
Er2PI2
1.0
4.073 0.000 0.000
-2.036 3.527 0.000
0.000 0.000 34.189
Er P I
6 3 6
Cartesian
0.000 0.000 4.241
0.000 0.000 29.948
0.000 2.351 18.552
0.000 2.351 27.033
2.036 1.176 7.155
2.036 1.176 15.637
0.000 0.000 17.094
0.000 2.351 5.698
2.036 1.176 28.490
0.000 0.000 9.191
0.000 0.000 24.997
0.000 2.351 13.601
0.000 2.351 31.984
2.036 1.176 2.205
2.036 1.176 20.587
```